# MgCuP2Cl (PBEsol, relaxed)
data_MgCuP2Cl
_symmetry_space_group_name_H-M 'P 1'
_symmetry_Int_Tables_number 1
_cell_length_a 4.6573
_cell_length_b 4.7927
_cell_length_c 4.7927
_cell_angle_alpha 90.00
_cell_angle_beta 90.00
_cell_angle_gamma 90.00
loop_
_symmetry_equiv_pos_as_xyz
'x,y,z'
loop_
_atom_site_label
_atom_site_type_symbol
_atom_site_fract_x
_atom_site_fract_y
_atom_site_fract_z
_atom_site_occupancy
P1 P 0.0000 0.0000 0.5000 1
P2 P 0.0000 0.5000 0.0000 1
Mg1 Mg 0.0000 0.0000 0.0000 1
Cu1 Cu 0.5000 0.5000 0.5000 1
Cl1 Cl 0.5000 0.0000 0.0000 1
# Size of the total moment, μB per formula unit: 0.0
# Raw formation energy, meV/atom: 822